No. 1
Computed, not measured: an optimized crystal structure of Mg3Ag2 at the GGA-PBE level of DFT.

Summary:
SG   P4_132, No. 213
Energy above the lowest structure with this stoichiometry   0.00 eV per formula unit
DFT total energy   -11.03 eV per formula unit

Unit cell a=7.281 b=7.281 c=7.281 alpha=90.00 beta=90.00 gamma=90.00
Atoms (fractional coordinates):
Ag (0.056, 0.056, 0.056)
Ag (0.806, 0.306, 0.194)
Ag (0.194, 0.806, 0.306)
Ag (0.944, 0.556, 0.444)
Ag (0.444, 0.944, 0.556)
Ag (0.694, 0.694, 0.694)
Ag (0.306, 0.194, 0.806)
Ag (0.556, 0.444, 0.944)
Mg (0.875, 0.700, 0.050)
Mg (0.200, 0.450, 0.125)
Mg (0.450, 0.125, 0.200)
Mg (0.550, 0.625, 0.300)
Mg (0.800, 0.950, 0.375)
Mg (0.125, 0.200, 0.450)
Mg (0.625, 0.300, 0.550)
Mg (0.300, 0.550, 0.625)
Mg (0.050, 0.875, 0.700)
Mg (0.950, 0.375, 0.800)
Mg (0.700, 0.050, 0.875)
Mg (0.375, 0.800, 0.950)



No. 2
Computed, not measured: an optimized crystal structure of Cs3Nb2Br9 at the GGA-PBE level of DFT.

Summary:
SG   P-3m1, No. 164
DFT total energy   -54.74 eV per formula unit
Magnetization   4.0 μB/f.u.

Unit cell a=7.704 b=7.704 c=9.552 alpha=90.01 beta=90.01 gamma=60.00
Site moments in Bohr magnetons follow the coordinates.
Atoms (fractional coordinates):
Br (0.500, 0.000, 0.000)  0.01
Br (0.000, 0.500, 0.000)  0.01
Br (0.500, 0.500, 0.000)  0.01
Br (0.172, 0.172, 0.318)  0.01
Br (0.655, 0.172, 0.318)  0.01
Br (0.172, 0.655, 0.318)  0.01
Br (0.828, 0.345, 0.682)  0.01
Br (0.345, 0.828, 0.682)  0.01
Br (0.828, 0.828, 0.682)  0.01
Cs (0.000, 0.000, 0.000)  0.00
Cs (0.667, 0.667, 0.348)  0.00
Cs (0.333, 0.333, 0.652)  0.00
Nb (0.333, 0.333, 0.169)  1.62
Nb (0.667, 0.667, 0.831)  1.62



No. 3
Computed, not measured: an optimized crystal structure of Nb4Mo2Pb3C3 at the GGA-PBE level of DFT.

Summary:
SG   C2/c, No. 15
DFT total energy   -102.01 eV per formula unit
Magnetization   0.0 μB/f.u.

Unit cell a=5.691 b=5.691 c=14.443 alpha=101.35 beta=101.35 gamma=59.94
Atoms (fractional coordinates):
C (0.500, 0.000, 0.000)
C (0.831, 0.335, 0.000)
C (0.169, 0.665, 0.000)
C (0.335, 0.831, 0.500)
C (0.000, 0.500, 0.500)
C (0.665, 0.169, 0.500)
Mo (0.525, 0.360, 0.075)
Mo (0.640, 0.475, 0.425)
Mo (0.360, 0.525, 0.575)
Mo (0.475, 0.640, 0.925)
Nb (0.196, 0.025, 0.080)
Nb (0.858, 0.693, 0.080)
Nb (0.307, 0.142, 0.420)
Nb (0.975, 0.804, 0.420)
Nb (0.025, 0.196, 0.580)
Nb (0.693, 0.858, 0.580)
Nb (0.142, 0.307, 0.920)
Nb (0.804, 0.975, 0.920)
Pb (0.259, 0.414, 0.249)
Pb (0.912, 0.088, 0.250)
Pb (0.586, 0.741, 0.251)
Pb (0.414, 0.259, 0.749)
Pb (0.088, 0.912, 0.750)
Pb (0.741, 0.586, 0.751)



No. 4
Computed, not measured: an optimized crystal structure of NdYFe2Si4 at the GGA-PBE level of DFT.

Summary:
SG   Pm, No. 6
DFT total energy   -55.17 eV per formula unit
Magnetization   0.0 μB/f.u.

Unit cell a=4.304 b=3.991 c=8.016 alpha=90.00 beta=103.51 gamma=90.00
Atoms (fractional coordinates):
Fe (0.384, 0.500, 0.111)
Fe (0.618, 0.000, 0.893)
Nd (0.101, 0.500, 0.703)
Si (0.827, 0.500, 0.008)
Si (0.455, 0.500, 0.400)
Si (0.544, 0.000, 0.596)
Si (0.174, 0.000, 0.997)
Y (0.897, 0.000, 0.292)



No. 5
Computed, not measured: an optimized crystal structure of TmPuSc at the GGA-PBE level of DFT.

Summary:
SG   F-43m, No. 216
Energy above the lowest structure with this stoichiometry   0.00 eV per formula unit
DFT total energy   -22.72 eV per formula unit
E_form   0.7376 eV/atom
Magnetization   7.0 μB/f.u.

Unit cell a=5.150 b=5.150 c=5.150 alpha=60.00 beta=60.00 gamma=60.00
Atoms (fractional coordinates):
Pu (0.250, 0.250, 0.250)
Sc (0.000, 0.000, 0.000)
Tm (0.750, 0.750, 0.750)



No. 6
Computed, not measured: an optimized crystal structure of KLuCoS3 at the GGA-PBE level of DFT.

Summary:
SG   Pnma, No. 62
Energy above the lowest structure with this stoichiometry   0.63 eV per formula unit
DFT total energy   -32.33 eV per formula unit
Magnetization   1.9 μB/f.u.

Unit cell a=3.973 b=10.666 c=11.939 alpha=90.00 beta=90.00 gamma=90.00
Site moments in Bohr magnetons follow the coordinates.
Atoms (fractional coordinates):
Co (0.750, 0.748, 0.210)  1.44
Co (0.750, 0.248, 0.290)  1.45
Co (0.250, 0.752, 0.710)  1.45
Co (0.250, 0.252, 0.790)  1.44
K (0.750, 0.178, 0.006)  0.00
K (0.750, 0.678, 0.494)  0.00
K (0.250, 0.322, 0.506)  0.00
K (0.250, 0.822, 0.994)  0.00
Lu (0.250, 0.489, 0.182)  0.02
Lu (0.250, 0.989, 0.318)  0.02
Lu (0.750, 0.011, 0.682)  0.02
Lu (0.750, 0.510, 0.818)  0.02
S (0.750, 0.603, 0.068)  0.06
S (0.750, 0.952, 0.170)  0.08
S (0.250, 0.228, 0.214)  0.08
S (0.250, 0.728, 0.286)  0.08
S (0.750, 0.452, 0.330)  0.08
S (0.750, 0.103, 0.432)  0.06
S (0.250, 0.897, 0.568)  0.06
S (0.250, 0.548, 0.670)  0.08
S (0.750, 0.272, 0.714)  0.08
S (0.750, 0.772, 0.786)  0.08
S (0.250, 0.048, 0.830)  0.08
S (0.250, 0.397, 0.932)  0.06